Record 1
The following is a PBE calculation of a relaxed KSn2Cl crystal, from Alexandria via LeMat-Bulk.

Geometry as extended XYZ:
```
8
Lattice="-2.131 2.131 16.250 2.131 -2.131 16.250 2.131 2.131 -16.250" Properties=species:S:1:pos:R:3 pbc="T T T"
K 0.000 0.000 0.000
K 0.000 2.131 8.125
Sn 3.197 1.046 -4.062
Sn 1.046 1.066 4.062
Sn -1.066 1.085 12.187
Sn 1.085 1.066 20.312
Cl 2.131 0.000 8.125
Cl 0.000 0.000 16.250
```

Results
The formation energy from raw total energies is -0.626 eV per atom. The value obtained for the excess energy over the best structure of this formula in the dataset is 0 meV per atom. The calculation puts the calculated volume at 36.9 A^3/atom. As for the density of states at the Fermi level: 3.0 states/eV per cell. The value obtained for the mass density is 3.5 g/cm3.

Record 2
The following is a PBE calculation of a relaxed In4HgSb crystal, from Alexandria via LeMat-Bulk.

Geometry as extended XYZ:
```
12
Lattice="4.322 0.000 0.000 0.000 5.913 0.000 -1.972 0.000 13.689" Properties=species:S:1:pos:R:3 pbc="T T T"
In 0.079 0.000 0.590
In -0.016 1.643 8.502
In 0.209 4.555 7.462
In 0.223 0.255 11.987
In 2.127 3.211 1.702
In 2.142 1.598 6.227
In 2.366 4.600 5.188
In 2.271 2.957 13.099
Hg 0.071 2.521 4.032
Hg 2.280 5.477 9.657
Sb 0.089 3.196 11.054
Sb 2.261 0.239 2.635
```

Results
The formation energy from raw total energies is 0.054 eV per atom. The value obtained for the excess energy over the best structure of this formula in the dataset is 0 meV per atom. The calculation puts the calculated volume at 29.2 A^3/atom. As for the density of states at the Fermi level: 5.7 states/eV per cell. The value obtained for the mass density is 7.4 g/cm3.